Arrangement 1

# KZnPO2 GGA-PBE relaxed
# **Size of the total moment**: 4.2 μB/f.u.
data_KZnPO2
_chemical_formula_sum 'K1 Zn1 P1 O2'
_cell_length_a 4.499
_cell_length_b 4.499
_cell_length_c 6.620
_cell_angle_alpha 90.00
_cell_angle_beta 90.00
_cell_angle_gamma 90.00
_space_group_name_H-M_alt 'P 4/m m m'
_space_group_IT_number 123
_space_group_name_Hall '-P 4 2'
loop_
_atom_site_label
_atom_site_fract_x
_atom_site_fract_y
_atom_site_fract_z
_atom_site_occupancy
K1 0.000 0.000 0.000 1
Zn1 0.500 0.500 0.500 1
P1 0.000 0.000 0.500 1
O1 0.000 0.500 0.000 1

Arrangement 2

# KZnPO2 GGA-PBE relaxed
# **Size of the total moment**: 2.9 μB/f.u.
data_KZnPO2
_chemical_formula_sum 'K1 Zn1 P1 O2'
_cell_length_a 4.267
_cell_length_b 4.267
_cell_length_c 4.669
_cell_angle_alpha 90.00
_cell_angle_beta 90.00
_cell_angle_gamma 90.00
_space_group_name_H-M_alt 'P 4/m m m'
_space_group_IT_number 123
_space_group_name_Hall '-P 4 2'
loop_
_atom_site_label
_atom_site_fract_x
_atom_site_fract_y
_atom_site_fract_z
_atom_site_occupancy
K1 0.000 0.000 0.000 1
Zn1 0.500 0.500 0.500 1
P1 0.500 0.500 0.000 1
O1 0.000 0.500 0.500 1

arrangement 2 takes first place; second place is 1068 meV/atom up.

Arrangement 1

# KZrP2O GGA-PBE relaxed
# **Size of the total moment**: 2.5 μB/f.u.
data_KZrP2O
_chemical_formula_sum 'K1 Zr1 P2 O1'
_cell_length_a 5.344
_cell_length_b 5.344
_cell_length_c 4.127
_cell_angle_alpha 90.00
_cell_angle_beta 90.00
_cell_angle_gamma 90.00
_space_group_name_H-M_alt 'P 4/m m m'
_space_group_IT_number 123
_space_group_name_Hall '-P 4 2'
loop_
_atom_site_label
_atom_site_fract_x
_atom_site_fract_y
_atom_site_fract_z
_atom_site_occupancy
K1 0.000 0.000 0.000 1
Zr1 0.500 0.500 0.500 1
P1 0.000 0.500 0.500 1
O1 0.500 0.500 0.000 1

Arrangement 2

# KZrP2O GGA-PBE relaxed
# **Size of the total moment**: 0.3 μB/f.u.
data_KZrP2O
_chemical_formula_sum 'K1 Zr1 P2 O1'
_cell_length_a 4.923
_cell_length_b 4.923
_cell_length_c 4.173
_cell_angle_alpha 90.00
_cell_angle_beta 90.00
_cell_angle_gamma 90.00
_space_group_name_H-M_alt 'P 4/m m m'
_space_group_IT_number 123
_space_group_name_Hall '-P 4 2'
loop_
_atom_site_label
_atom_site_fract_x
_atom_site_fract_y
_atom_site_fract_z
_atom_site_occupancy
K1 0.000 0.000 0.000 1
Zr1 0.500 0.500 0.500 1
P1 0.000 0.500 0.000 1
O1 0.000 0.000 0.500 1

arrangement 1 takes first place; second place is 1827 meV/atom up.

Arrangement 1

# K3PaO4 GGA-PBE relaxed
# **Size of the total moment**: 0.0 μB/f.u.
data_K3PaO4
_chemical_formula_sum 'K6 Pa2 O8'
_cell_length_a 7.450
_cell_length_b 11.037
_cell_length_c 3.653
_cell_angle_alpha 90.00
_cell_angle_beta 90.00
_cell_angle_gamma 90.00
_space_group_name_H-M_alt 'C m m m'
_space_group_IT_number 65
_space_group_name_Hall '-C 2 2'
loop_
_atom_site_label
_atom_site_fract_x
_atom_site_fract_y
_atom_site_fract_z
_atom_site_occupancy
K1 0.000 0.000 0.000 1
K2 0.250 0.250 0.500 1
Pa1 0.000 0.500 0.000 1
O1 0.000 0.314 0.000 1
O2 0.197 0.500 0.500 1

Arrangement 2

# K3PaO4 GGA-PBE relaxed
# **Size of the total moment**: 0.0 μB/f.u.
data_K3PaO4
_chemical_formula_sum 'K6 Pa2 O8'
_cell_length_a 6.911
_cell_length_b 6.911
_cell_length_c 6.911
_cell_angle_alpha 90.00
_cell_angle_beta 90.00
_cell_angle_gamma 90.00
_space_group_name_H-M_alt 'I -4 3 m'
_space_group_IT_number 217
_space_group_name_Hall 'I -4 2 3'
loop_
_atom_site_label
_atom_site_fract_x
_atom_site_fract_y
_atom_site_fract_z
_atom_site_occupancy
K1 0.000 0.000 0.500 1
Pa1 0.000 0.000 0.000 1
O1 0.173 0.173 0.827 1

arrangement 1 takes first place; second place is 280 meV/atom up.

Arrangement 1

# K2PbO GGA-PBE relaxed
# **Size of the total moment**: 0.7 μB/f.u.
data_K2PbO
_chemical_formula_sum 'K8 Pb4 O4'
_cell_length_a 7.848
_cell_length_b 7.848
_cell_length_c 7.848
_cell_angle_alpha 90.00
_cell_angle_beta 90.00
_cell_angle_gamma 90.00
_space_group_name_H-M_alt 'F m -3 m'
_space_group_IT_number 225
_space_group_name_Hall '-F 4 2 3'
loop_
_atom_site_label
_atom_site_fract_x
_atom_site_fract_y
_atom_site_fract_z
_atom_site_occupancy
K1 0.250 0.250 0.250 1
Pb1 0.000 0.000 0.000 1
O1 0.000 0.000 0.500 1

Arrangement 2

# K2PbO GGA-PBE relaxed
# **Size of the total moment**: 0.3 μB/f.u.
data_K2PbO
_chemical_formula_sum 'K6 Pb3 O3'
_cell_length_a 3.6854
_cell_length_b 3.6854
_cell_length_c 32.4191
_cell_angle_alpha 90.00
_cell_angle_beta 90.00
_cell_angle_gamma 120.00
_space_group_name_H-M_alt 'R -3 m'
_space_group_IT_number 166
_space_group_name_Hall '-R 3 2"'
loop_
_atom_site_label
_atom_site_fract_x
_atom_site_fract_y
_atom_site_fract_z
_atom_site_occupancy
K1 0.0000 0.0000 0.1223 1
Pb1 0.0000 0.0000 0.0000 1
O1 0.0000 0.0000 0.5000 1

arrangement 2 takes first place; second place is 708 meV/atom up.

Arrangement 1

# K4PbO3 GGA-PBE relaxed
# **Size of the total moment**: 0.0 μB/f.u.
data_K4PbO3
_chemical_formula_sum 'K16 Pb4 O12'
_cell_length_a 12.372
_cell_length_b 6.675
_cell_length_c 10.269
_cell_angle_alpha 90.00
_cell_angle_beta 115.75
_cell_angle_gamma 90.00
_space_group_name_H-M_alt 'C 1 c 1'
_space_group_IT_number 9
_space_group_name_Hall 'C -2yc'
loop_
_atom_site_label
_atom_site_fract_x
_atom_site_fract_y
_atom_site_fract_z
_atom_site_occupancy
K1 0.000 0.146 0.000 1
K2 0.234 0.153 0.409 1
K3 0.302 0.278 0.105 1
K4 0.415 0.177 0.809 1
Pb1 0.121 0.320 0.735 1
O1 0.183 0.084 0.631 1
O2 0.285 0.492 0.314 1
O3 0.470 0.010 0.069 1

Arrangement 2

# K4PbO3 GGA-PBE relaxed
# **Size of the total moment**: 0.0 μB/f.u.
data_K4PbO3
_chemical_formula_sum 'K32 Pb8 O24'
_cell_length_a 6.663
_cell_length_b 11.775
_cell_length_c 18.945
_cell_angle_alpha 90.00
_cell_angle_beta 90.00
_cell_angle_gamma 90.00
_space_group_name_H-M_alt 'P b c a'
_space_group_IT_number 61
_space_group_name_Hall '-P 2ac 2ab'
loop_
_atom_site_label
_atom_site_fract_x
_atom_site_fract_y
_atom_site_fract_z
_atom_site_occupancy
K1 0.058 0.119 0.201 1
K2 0.127 0.672 0.648 1
K3 0.237 0.187 0.443 1
K4 0.246 0.555 0.034 1
Pb1 0.112 0.562 0.846 1
O1 0.040 0.607 0.157 1
O2 0.042 0.148 0.566 1
O3 0.110 0.011 0.900 1

arrangement 2 takes first place; second place is 46 meV/atom up.